Compound: In2TcSb
Source: the Alexandria database
Functional: GGA-PBEsol
Structure: relaxed

Structure (POSCAR):
```
In2TcSb
1.0
1.568 0.905 9.902
-1.568 0.905 9.902
0.000 -1.810 9.902
In Tc Sb
2 1 1
direct
0.238 0.238 0.238
0.762 0.762 0.762
0.500 0.500 0.500
0.000 0.000 0.000
```

Results
**Mass density**: 8.85 g/cm3
**Total energy**: -20.34 eV per cell